VASP calculation (PBE) on a relaxed Ho6NiPd2 crystal.

```
Ho6NiPd2
1.0
6.5157 0.0000 0.0000
0.0000 7.2044 0.0000
-6.3922 0.0000 9.8832
Ho Ni Pd
12 2 4
Cartesian
-2.1484 1.3209 4.3016
-5.3445 2.2813 9.2432
-1.0761 4.8813 4.2792
-4.2722 5.9252 9.2208
1.0018 0.2512 2.4409
-2.1943 3.3510 7.3825
2.3178 3.8534 2.5007
-0.8784 6.9531 7.4423
4.3957 1.2792 0.6624
1.1996 2.3230 5.6040
5.4680 4.9231 0.6400
2.2718 5.8835 5.5816
0.0617 0.0000 4.9416
3.2579 3.6022 0.0000
-3.5509 0.8304 7.3422
-0.3548 2.7717 2.4006
0.4782 4.4326 7.4826
3.6744 6.3739 2.5410
```

* SG: P2_1/c, No. 14
* total magnetization: 0.000 μB per atom
* formation energy: -0.48 eV per atom
* theoretical density: 9.03 g cm⁻³